No. 1
! LiTiSb3 GGA-PBE optimized geometry; values from VASP
&SYSTEM
  ibrav = 0, nat = 5, ntyp = 3
/
ATOMIC_SPECIES
Li 6.94 Li.upf
Sb 121.76 Sb.upf
Ti 47.87 Ti.upf
ATOMIC_POSITIONS crystal
Li 0.000 0.000 0.000
Sb 0.000 0.000 0.500
Sb 0.500 0.000 0.000
Sb 0.000 0.500 0.000
Ti 0.500 0.500 0.500
CELL_PARAMETERS angstrom
-2.847 4.013 0.491
-1.369 -0.392 -4.735
-3.804 -2.862 1.337
! Excess energy over the best structure of this formula in the dataset ... 2.639 eV/f.u.
! Spin magnetization ... 0.05 μB/f.u.
! Uncorrected formation energy ... 523.4 meV per atom
! ρ ... 5.769 g/cm3



No. 2
! CeGeRuRh GGA-PBE optimized geometry; values from VASP
&SYSTEM
  ibrav = 0, nat = 4, ntyp = 4
/
ATOMIC_SPECIES
Ce 140.12 Ce.upf
Rh 102.91 Rh.upf
Ru 101.07 Ru.upf
Ge 72.64 Ge.upf
ATOMIC_POSITIONS crystal
Ce 0.500 0.230 0.459
Rh 0.500 0.490 0.981
Ru 0.000 0.900 0.801
Ge 0.000 0.607 0.215
CELL_PARAMETERS angstrom
4.567 0.000 0.000
0.000 3.445 0.000
0.000 -1.722 4.655
! Spin magnetization ... 0.00 μB/f.u.
! ρ ... 9.448 g/cm3
! DFT formation energy ... -1.66 eV/f.u.



No. 3
! Ho2Ag GGA-PBE optimized geometry; values from VASP
&SYSTEM
  ibrav = 0, nat = 6, ntyp = 2
/
ATOMIC_SPECIES
Ho 164.93 Ho.upf
Ag 107.87 Ag.upf
ATOMIC_POSITIONS crystal
Ho 0.500 0.500 0.701
Ho 0.500 0.500 0.000
Ho 0.000 0.000 0.500
Ho 0.500 0.500 0.299
Ag 0.000 0.000 0.149
Ag 0.000 0.000 0.851
CELL_PARAMETERS angstrom
3.599 0.000 0.000
0.000 3.599 0.000
0.000 0.000 12.202
! Spin magnetization ... 0.00 μB/f.u.
! ρ ... 9.200 g/cm3
! DFT formation energy ... -0.61 eV/f.u.



No. 4
! SrTi2Co2 GGA-PBE optimized geometry; values from VASP
&SYSTEM
  ibrav = 0, nat = 5, ntyp = 3
/
ATOMIC_SPECIES
Co 58.93 Co.upf
Sr 87.62 Sr.upf
Ti 47.87 Ti.upf
ATOMIC_POSITIONS crystal
Co 0.250 0.750 0.500
Co 0.750 0.250 0.500
Sr 0.000 0.000 0.000
Ti 0.343 0.343 0.315
Ti 0.657 0.657 0.685
CELL_PARAMETERS angstrom
-3.817 -1.066 1.797
-0.165 -3.577 -2.473
0.498 -4.994 3.363
! Excess energy over the best structure of this formula in the dataset ... 1.085 eV/f.u.
! Spin magnetization ... 1.06 μB/f.u.
! ρ ... 5.081 g/cm3
! DFT formation energy ... 0.90 eV/f.u.



No. 5
! Ta12TcW6 GGA-PBE optimized geometry; values from VASP
&SYSTEM
  ibrav = 0, nat = 19, ntyp = 3
/
ATOMIC_SPECIES
W 183.84 W.upf
Ta 180.95 Ta.upf
Tc 98.00 Tc.upf
ATOMIC_POSITIONS crystal
W 0.398 0.098 0.605
W 0.605 0.398 0.098
W 0.395 0.602 0.902
W 0.602 0.902 0.395
W 0.902 0.395 0.602
W 0.098 0.605 0.398
Ta 0.286 0.939 0.840
Ta 0.840 0.286 0.939
Ta 0.551 0.810 0.683
Ta 0.714 0.061 0.160
Ta 0.190 0.317 0.449
Ta 0.449 0.190 0.317
Ta 0.061 0.160 0.714
Ta 0.160 0.714 0.061
Ta 0.683 0.551 0.810
Ta 0.317 0.449 0.190
Ta 0.810 0.683 0.551
Ta 0.939 0.840 0.286
Tc 0.000 0.000 0.000
CELL_PARAMETERS angstrom
-1.309 1.232 -7.530
4.774 -6.010 1.006
-6.655 -1.119 3.793
! Spin magnetization ... 0.00 μB/f.u.
! ρ ... 16.510 g/cm3
! DFT formation energy ... 5.26 eV/f.u.



No. 6
! Zr2ReIr GGA-PBE optimized geometry; values from VASP
&SYSTEM
  ibrav = 0, nat = 4, ntyp = 3
/
ATOMIC_SPECIES
Ir 192.22 Ir.upf
Zr 91.22 Zr.upf
Re 186.21 Re.upf
ATOMIC_POSITIONS crystal
Ir 0.000 0.000 0.451
Zr 0.000 0.000 0.948
Zr 0.500 0.500 0.297
Re 0.500 0.500 0.805
CELL_PARAMETERS angstrom
-1.679 -2.615 0.422
2.518 -2.079 -2.867
3.414 -1.529 4.107
! Spin magnetization ... 0.00 μB/f.u.
! ρ ... 12.304 g/cm3
! DFT formation energy ... -0.67 eV/f.u.



What is the spin magnetization in the sixth record? 0.00 μB/f.u.



Which value of ρ does entry 3 give? 9.200 g/cm3